Record 1
The following is a DFT calculation (GGA-PBE) of a geometry-optimized LiPrBi structure.

a = 5.228 Å, b = 5.228 Å, c = 5.228 Å
α = 60.00°, β = 60.00°, γ = 60.00°
Atoms (fractional coordinates):
Bi  0.250  0.250  0.250
Li  0.750  0.750  0.750
Pr  0.000  0.000  0.000

Calculated values
ρ   5.9 Mg/m³
Energy above the most stable polymorph in this dataset   291 meV/atom
E_tot   -3.8065 eV/atom

=====

Record 2
The following is a DFT calculation (GGA-PBE) of a geometry-optimized Li2Bi2Pt3 structure.

a = 7.861 Å, b = 7.861 Å, c = 7.861 Å
α = 34.06°, β = 34.06°, γ = 34.06°
Atoms (fractional coordinates):
Bi  0.005  0.005  0.005
Bi  0.497  0.497  0.497
Li  0.246  0.246  0.246
Li  0.753  0.753  0.753
Pt  0.371  0.371  0.371
Pt  0.624  0.624  0.624
Pt  0.878  0.878  0.878

Calculated values
ρ   12.4 Mg/m³
E_tot   -4.6977 eV/atom

=====

Record 3
The following is a DFT calculation (GGA-PBE) of a geometry-optimized LiBiPt structure.

a = 4.510 Å, b = 4.510 Å, c = 4.510 Å
α = 60.00°, β = 60.00°, γ = 60.00°
Atoms (fractional coordinates):
Bi  0.250  0.250  0.250
Li  0.750  0.750  0.750
Pt  0.000  0.000  0.000

Calculated values
ρ   10.5 Mg/m³
Energy above the most stable polymorph in this dataset   0 meV/atom
E_tot   -4.4489 eV/atom